First-principles (PBE-GGA) data for an optimized crystal structure of TlHg2Pd7, as listed in the Alexandria database.

formation energy: 0.27 eV/atom
total magnetic moment: 0.0 μB/f.u.
calculated volume: 22.27 Å³/atom

abc: 7.348 14.108 4.296
angles: 90.00 90.00 90.00
Space group Cmmm (No. 65)
Asymmetric unit:
Tl  0.000  0.000  0.000 (multiplicity 2)
Hg  0.000  0.302  0.500 (multiplicity 4)
Pd  0.000  0.188  0.000 (multiplicity 4)
Pd  0.000  0.500  0.500 (multiplicity 2)
Pd  0.182  0.100  0.500 (multiplicity 8)

=====

First-principles (PBE-GGA) data for an optimized crystal structure of Tl4HgPd7, as listed in the Alexandria database.

formation energy: -0.06 eV/atom
total magnetic moment: 0.0 μB/f.u.
calculated volume: 20.18 Å³/atom

abc: 11.147 5.112 9.911
angles: 90.00 120.96 90.00
Space group C2/m (No. 12)
Asymmetric unit:
Tl  0.090  0.000  0.277 (multiplicity 4)
Tl  0.248  0.500  0.165 (multiplicity 4)
Hg  0.000  0.500  0.500 (multiplicity 2)
Pd  0.000  0.000  0.500 (multiplicity 2)
Pd  0.073  0.500  0.830 (multiplicity 4)
Pd  0.137  0.000  0.025 (multiplicity 4)
Pd  0.206  0.500  0.412 (multiplicity 4)

=====

First-principles (PBE-GGA) data for an optimized crystal structure of TlHgPd4, as listed in the Alexandria database.

excess energy over the best structure of this formula in the dataset: 0.0000 eV per atom
formation energy: -0.14 eV/atom
total magnetic moment: 0.0 μB/f.u.
calculated volume: 17.45 Å³/atom

abc: 9.554 3.077 7.816
angles: 90.00 114.34 90.00
Space group C2/m (No. 12)
Asymmetric unit:
Tl  0.000  0.000  0.000 (multiplicity 2)
Hg  0.000  0.000  0.500 (multiplicity 2)
Pd  0.167  0.500  0.334 (multiplicity 4)
Pd  0.167  0.500  0.833 (multiplicity 4)

=====

First-principles (PBE-GGA) data for an optimized crystal structure of TlHg3Pd12, as listed in the Alexandria database.

formation energy: -0.12 eV/atom
total magnetic moment: 0.0 μB/f.u.
calculated volume: 16.73 Å³/atom

abc: 4.062 4.062 16.225
angles: 90.00 90.00 90.00
Space group P4/mmm (No. 123)
Asymmetric unit:
Tl  0.000  0.000  0.000 (multiplicity 1)
Hg  0.000  0.000  0.251 (multiplicity 2)
Hg  0.000  0.000  0.500 (multiplicity 1)
Pd  0.000  0.500  0.126 (multiplicity 4)
Pd  0.000  0.500  0.376 (multiplicity 4)
Pd  0.500  0.500  0.000 (multiplicity 1)
Pd  0.500  0.500  0.251 (multiplicity 2)
Pd  0.500  0.500  0.500 (multiplicity 1)

=====

First-principles (PBE-GGA) data for an optimized crystal structure of Tl2HgPd2, as listed in the Alexandria database.

excess energy over the best structure of this formula in the dataset: 0.1156 eV per atom
formation energy: 0.01 eV/atom
total magnetic moment: 0.0 μB/f.u.
calculated volume: 24.11 Å³/atom

abc: 3.885 3.885 15.976
angles: 90.00 90.00 90.00
Space group I4/mmm (No. 139)
Asymmetric unit:
Tl  0.000  0.000  0.118 (multiplicity 4)
Hg  0.000  0.000  0.500 (multiplicity 2)
Pd  0.000  0.500  0.250 (multiplicity 4)

=====

First-principles (PBE-GGA) data for an optimized crystal structure of TlHg3Pd6, as listed in the Alexandria database.

excess energy over the best structure of this formula in the dataset: 0.1126 eV per atom
formation energy: -0.05 eV/atom
total magnetic moment: 0.0 μB/f.u.
calculated volume: 19.01 Å³/atom

abc: 9.984 13.521 5.631
angles: 90.00 90.00 90.00
Space group Cmc2_1 (No. 36)
Asymmetric unit:
Tl  0.000  0.183  0.000 (multiplicity 4)
Hg  0.000  0.409  0.870 (multiplicity 4)
Hg  0.214  0.073  0.519 (multiplicity 8)
Pd  0.000  0.004  0.262 (multiplicity 4)
Pd  0.000  0.217  0.488 (multiplicity 4)
Pd  0.135  0.403  0.429 (multiplicity 8)
Pd  0.235  0.261  0.747 (multiplicity 8)

=====

- What is the calculated volume in the first record?
  22.27 Å³/atom

=====

- Which formula does entry 5 have?
  Tl2HgPd2